Run one
A geometry-optimized SiRh2I structure, computed with PBE-GGA.

POSCAR file:
```
SiRh2I
1.0
3.5979 0.0000 0.0000
1.7656 4.4413 0.0000
1.7878 -0.2590 5.1816
Si Rh I
1 2 1
Direct
0.0000 0.0000 0.0000
0.3464 0.0341 0.2772
0.6536 0.9659 0.7228
0.5000 0.5000 0.5000
```

***

Run two
A geometry-optimized SiRh2I structure, computed with PBE-GGA.

POSCAR file:
```
SiRh2I
1.0
3.7366 0.0000 0.0000
-1.8683 3.2360 0.0000
0.0000 0.0000 6.2360
Si Rh I
1 2 1
Direct
0.0000 0.0000 0.0000
0.3333 0.6667 0.8406
0.6667 0.3333 0.1594
0.0000 0.0000 0.5000
```

***

Which structure is the most stable? The one labeled run two.